DFT (PBE-GGA) results for Rb3ZrSc after structural relaxation.

Mass density ... 1.93 g/cm3
ΔE_f ... 147.4 kJ per mole of atoms
ΔE to the lowest computed polymorph ... 0 meV per atom

```
data_Rb3ZrSc
_symmetry_space_group_name_H-M 'P m -3 m'
_symmetry_Int_Tables_number 221
_symmetry_space_group_name_Hall '-P 4 2 3'
_cell_length_a 6.959
_cell_length_b 6.959
_cell_length_c 6.959
_cell_angle_alpha 90.00
_cell_angle_beta 90.00
_cell_angle_gamma 90.00
loop_
_atom_site_label
_atom_site_type_symbol
_atom_site_fract_x
_atom_site_fract_y
_atom_site_fract_z
_atom_site_occupancy
Rb1 Rb 0.000 0.000 0.500 1
Zr1 Zr 0.000 0.000 0.000 1
Sc1 Sc 0.500 0.500 0.500 1
```

---

DFT (PBE-GGA) results for LaTb2SmTh after structural relaxation.

Mass density ... 7.77 g/cm3
ΔE_f ... 31.3 kJ per mole of atoms

```
data_LaTb2SmTh
_symmetry_space_group_name_H-M 'P 1 2/c 1'
_symmetry_Int_Tables_number 13
_cell_length_a 8.452
_cell_length_b 6.357
_cell_length_c 6.766
_cell_angle_alpha 90.00
_cell_angle_beta 99.57
_cell_angle_gamma 90.00
loop_
_symmetry_equiv_pos_as_xyz
'x,y,z'
'-x,-y,-z'
'-x,y,-z+1/2'
'x,-y,z+1/2'
loop_
_atom_site_label
_atom_site_type_symbol
_atom_site_fract_x
_atom_site_fract_y
_atom_site_fract_z
_atom_site_occupancy
La1 La 0.000 0.000 0.000 1
Tb1 Tb 0.326 0.381 0.113 1
Sm1 Sm 0.500 0.126 0.750 1
Th1 Th 0.000 0.462 0.750 1
```

---

DFT (PBE-GGA) results for CeHF6 after structural relaxation.

Total energy ... -5.16 eV per atom
Mass density ... 3.83 g/cm3

```
data_CeHF6
_symmetry_space_group_name_H-M 'P -1'
_symmetry_Int_Tables_number 2
_cell_length_a 4.494
_cell_length_b 5.296
_cell_length_c 5.391
_cell_angle_alpha 115.84
_cell_angle_beta 104.96
_cell_angle_gamma 90.18
loop_
_symmetry_equiv_pos_as_xyz
'x,y,z'
'-x,-y,-z'
loop_
_atom_site_label
_atom_site_type_symbol
_atom_site_fract_x
_atom_site_fract_y
_atom_site_fract_z
_atom_site_occupancy
Ce1 Ce 0.000 0.000 0.000 1
H1 H 0.500 0.500 0.500 1
F1 F 0.198 0.623 0.062 1
F2 F 0.277 0.350 0.427 1
F3 F 0.305 0.018 0.776 1
```

---

DFT (PBE-GGA) results for Na3Cd4Ag8 after structural relaxation.

Mass density ... 7.12 g/cm3
ΔE_f ... -4.5 kJ per mole of atoms

```
data_Na3Cd4Ag8
_symmetry_space_group_name_H-M 'F m -3 m'
_symmetry_Int_Tables_number 225
_symmetry_space_group_name_Hall '-F 4 2 3'
_cell_length_a 13.713
_cell_length_b 13.713
_cell_length_c 13.713
_cell_angle_alpha 90.00
_cell_angle_beta 90.00
_cell_angle_gamma 90.00
loop_
_atom_site_label
_atom_site_type_symbol
_atom_site_fract_x
_atom_site_fract_y
_atom_site_fract_z
_atom_site_occupancy
Na1 Na 0.000 0.000 0.225 1
Cd1 Cd 0.000 0.000 0.000 1
Cd2 Cd 0.000 0.000 0.500 1
Cd3 Cd 0.000 0.250 0.250 1
Ag1 Ag 0.121 0.121 0.379 1
Ag2 Ag 0.171 0.171 0.171 1
```

---

DFT (PBE-GGA) results for ZrZnPdCl2 after structural relaxation.

Mass density ... 4.52 g/cm3
Formation energy without anion corrections ... 184.4 meV/atom

```
data_ZrZnPdCl2
_symmetry_space_group_name_H-M 'P 4/m m m'
_symmetry_Int_Tables_number 123
_symmetry_space_group_name_Hall '-P 4 2'
_cell_length_a 4.778
_cell_length_b 4.778
_cell_length_c 5.377
_cell_angle_alpha 90.00
_cell_angle_beta 90.00
_cell_angle_gamma 90.00
loop_
_atom_site_label
_atom_site_type_symbol
_atom_site_fract_x
_atom_site_fract_y
_atom_site_fract_z
_atom_site_occupancy
Zr1 Zr 0.000 0.000 0.000 1
Zn1 Zn 0.500 0.500 0.000 1
Pd1 Pd 0.000 0.000 0.500 1
Cl1 Cl 0.000 0.500 0.500 1
```

---

DFT (PBE-GGA) results for Be2Al2Zn after structural relaxation.

Mass density ... 3.47 g/cm3
ΔE_f ... 22.5 kJ per mole of atoms
ΔE to the lowest computed polymorph ... 0 meV per atom

```
data_Be2Al2Zn
_symmetry_space_group_name_H-M 'P 4/m b m'
_symmetry_Int_Tables_number 127
_symmetry_space_group_name_Hall '-P 4 2ab'
_cell_length_a 6.742
_cell_length_b 6.742
_cell_length_c 2.892
_cell_angle_alpha 90.00
_cell_angle_beta 90.00
_cell_angle_gamma 90.00
loop_
_atom_site_label
_atom_site_type_symbol
_atom_site_fract_x
_atom_site_fract_y
_atom_site_fract_z
_atom_site_occupancy
Be1 Be 0.111 0.389 0.000 1
Al1 Al 0.183 0.683 0.500 1
Zn1 Zn 0.000 0.000 0.000 1
```

---

DFT (PBE-GGA) results for CaMgSi after structural relaxation.

Mass density ... 2.23 g/cm3
Formation energy without anion corrections ... -435.7 meV/atom

```
data_CaMgSi
_symmetry_space_group_name_H-M 'P 1 21/m 1'
_symmetry_Int_Tables_number 11
_cell_length_a 7.341
_cell_length_b 4.442
_cell_length_c 12.650
_cell_angle_alpha 90.00
_cell_angle_beta 90.14
_cell_angle_gamma 90.00
loop_
_symmetry_equiv_pos_as_xyz
'x,y,z'
'-x,-y,-z'
'-x,y+1/2,-z'
'x,-y+1/2,z'
loop_
_atom_site_label
_atom_site_type_symbol
_atom_site_fract_x
_atom_site_fract_y
_atom_site_fract_z
_atom_site_occupancy
Ca1 Ca 0.009 0.250 0.295 1
Ca2 Ca 0.350 0.750 0.914 1
Ca3 Ca 0.478 0.750 0.622 1
Mg1 Mg 0.014 0.250 0.908 1
Mg2 Mg 0.149 0.250 0.540 1
Mg3 Mg 0.352 0.750 0.208 1
Si1 Si 0.229 0.250 0.089 1
Si2 Si 0.230 0.750 0.421 1
Si3 Si 0.276 0.250 0.750 1
```

---

DFT (PBE-GGA) results for LiF after structural relaxation.

Mass density ... 2.04 g/cm3
ΔE to the lowest computed polymorph ... 6 meV per atom
Formation energy without anion corrections ... -2946.1 meV/atom

```
data_LiF
_symmetry_space_group_name_H-M 'P 63 m c'
_symmetry_Int_Tables_number 186
_symmetry_space_group_name_Hall 'P 6c -2c'
_cell_length_a 3.1542
_cell_length_b 3.1542
_cell_length_c 4.8909
_cell_angle_alpha 90.00
_cell_angle_beta 90.00
_cell_angle_gamma 120.00
loop_
_atom_site_label
_atom_site_type_symbol
_atom_site_fract_x
_atom_site_fract_y
_atom_site_fract_z
_atom_site_occupancy
Li1 Li 0.3333 0.6667 0.0000 1
F1 F 0.3333 0.6667 0.6091 1
```

---

DFT (PBE-GGA) results for K3CdAg3Cl8 after structural relaxation.

Mass density ... 3.33 g/cm3
Formation energy without anion corrections ... -1161.3 meV/atom

```
data_K3CdAg3Cl8
_symmetry_space_group_name_H-M 'C 1 2/m 1'
_symmetry_Int_Tables_number 12
_cell_length_a 14.520
_cell_length_b 8.146
_cell_length_c 8.496
_cell_angle_alpha 90.00
_cell_angle_beta 123.72
_cell_angle_gamma 90.00
loop_
_symmetry_equiv_pos_as_xyz
'x,y,z'
'-x,-y,-z'
'-x,y,-z'
'x,-y,z'
'x+1/2,y+1/2,z'
'-x+1/2,-y+1/2,-z'
'-x+1/2,y+1/2,-z'
'x+1/2,-y+1/2,z'
loop_
_atom_site_label
_atom_site_type_symbol
_atom_site_fract_x
_atom_site_fract_y
_atom_site_fract_z
_atom_site_occupancy
K1 K 0.000 0.000 0.000 1
K2 K 0.250 0.250 0.000 1
Cd1 Cd 0.000 0.000 0.500 1
Ag1 Ag 0.000 0.500 0.500 1
Ag2 Ag 0.250 0.250 0.500 1
Cl1 Cl 0.006 0.240 0.291 1
Cl2 Cl 0.225 0.000 0.700 1
Cl3 Cl 0.243 0.500 0.712 1
```